The following is a DFT calculation (PBE) of an optimized crystal structure of SrIrRu2.

Cell and atoms, written as POSCAR:
```
SrIrRu2
1.0
-1.6161 -1.3956 4.1215
1.2325 2.2602 3.8625
-3.1148 2.5878 2.2689
Ru Ir Sr
2 1 1
direct
0.2500 0.2500 0.2500
0.7500 0.7500 0.7500
0.5000 0.5000 0.5000
0.0000 0.0000 0.0000
```

**ΔE to the lowest computed polymorph**: 413.4 meV per atom
**Spin magnetization**: 3.217 μB per cell
**Energy relative to the elements**: 0.81 eV per atom


The following is a DFT calculation (PBE) of an optimized crystal structure of Ho4NiTeSe2.

Cell and atoms, written as POSCAR:
```
Ho4NiTeSe2
1.0
4.0018 0.0000 0.0000
0.0000 7.2586 0.2094
0.0000 -2.4587 6.7899
Ho Ni Te Se
4 1 1 2
direct
0.5000 0.2745 0.2543
0.5000 0.7255 0.7457
0.0000 0.2845 0.7727
0.0000 0.7155 0.2273
0.5000 0.5000 0.0000
0.0000 0.0000 0.0000
0.5000 0.0000 0.5000
0.0000 0.5000 0.5000
```

**Spin magnetization**: 0.000 μB per cell
**E_form (uncorrected)**: -1244 meV per atom


The following is a DFT calculation (PBE) of an optimized crystal structure of Li2Ni3H9.

Cell and atoms, written as POSCAR:
```
Li2Ni3H9
1.0
6.4034 -1.3979 -2.3611
-4.7391 5.0634 0.6597
-0.2813 0.8499 7.1688
Li Ni H
4 6 18
direct
0.1702 0.0958 0.7362
0.8298 0.9042 0.2638
0.8596 0.4340 0.7638
0.1404 0.5660 0.2362
0.5000 0.0000 0.0000
0.5000 0.5000 0.5000
0.7781 0.1279 0.5004
0.2219 0.8721 0.4996
0.1275 0.2777 0.9996
0.8725 0.7223 0.0004
0.3502 0.9236 0.7515
0.6498 0.0764 0.2485
0.6721 0.5987 0.7485
0.3279 0.4013 0.2515
0.3292 0.6453 0.9971
0.6708 0.3547 0.0029
0.1482 0.3321 0.5029
0.8518 0.6679 0.4971
0.9934 0.2434 0.7500
0.0066 0.7566 0.2500
0.2289 0.1314 0.0236
0.7711 0.8686 0.9764
0.6078 0.2053 0.4764
0.3922 0.7947 0.5236
0.7222 0.8581 0.4941
0.2778 0.1419 0.5059
0.8640 0.2281 0.0059
0.1360 0.7719 0.9941
```

**Spin magnetization**: 0.000 μB per cell
**Uncorrected energy**: -105.40 eV for the cell shown


The following is a DFT calculation (PBE) of an optimized crystal structure of Ac2Mn2Cu15.

Cell and atoms, written as POSCAR:
```
Ac2Mn2Cu15
1.0
6.5881 -0.0266 0.8319
0.7301 6.5476 0.8319
-0.0298 -0.0266 6.6403
Ac Mn Cu
2 2 15
direct
0.3427 0.3427 0.3427
0.6573 0.6573 0.6573
0.0955 0.0955 0.0955
0.9045 0.9045 0.9045
0.5000 0.0000 0.0000
0.0000 0.0000 0.5000
0.0000 0.5000 0.0000
0.0000 0.7146 0.2854
0.7146 0.2854 0.0000
0.2854 0.0000 0.7146
0.2854 0.7146 0.0000
0.7146 0.0000 0.2854
0.0000 0.2854 0.7146
0.1511 0.6599 0.6599
0.6599 0.6599 0.1511
0.6599 0.1511 0.6599
0.8489 0.3401 0.3401
0.3401 0.3401 0.8489
0.3401 0.8489 0.3401
```

**Spin magnetization**: 7.028 μB per cell
**Energy relative to the elements**: -0.03 eV per atom


The following is a DFT calculation (PBE) of an optimized crystal structure of GeSb2Pd.

Cell and atoms, written as POSCAR:
```
GeSb2Pd
1.0
-0.1602 5.0275 -3.6654
-5.7152 -1.5681 -1.9011
-5.2863 4.8974 1.6643
Sb Ge Pd
4 2 2
direct
0.6406 0.1250 0.2500
0.1094 0.6250 0.2500
0.3750 0.3594 0.7500
0.8750 0.8906 0.7500
0.5000 0.5000 0.0000
0.2500 0.7500 0.5000
0.0000 0.0000 0.0000
0.7500 0.2500 0.5000
```

**Spin magnetization**: 0.000 μB per cell
**E_form (uncorrected)**: -39 meV per atom


The following is a DFT calculation (PBE) of an optimized crystal structure of SrMn2Ag.

Cell and atoms, written as POSCAR:
```
SrMn2Ag
1.0
5.7992 0.0652 -0.1456
2.5112 5.2278 0.1456
-3.5309 -3.6267 2.8349
Ag Mn Sr
1 2 1
direct
0.2232 0.7232 0.5000
0.0052 0.0052 0.0000
0.7771 0.2771 0.5000
0.4945 0.4945 0.0000
```

**Spin magnetization**: 7.698 μB per cell
**Energy relative to the elements**: 0.58 eV per atom


What did the fifth record say?
The following is a DFT calculation (PBE) of an optimized crystal structure of GeSb2Pd.

Cell and atoms, written as POSCAR:
```
GeSb2Pd
1.0
-0.1602 5.0275 -3.6654
-5.7152 -1.5681 -1.9011
-5.2863 4.8974 1.6643
Sb Ge Pd
4 2 2
direct
0.6406 0.1250 0.2500
0.1094 0.6250 0.2500
0.3750 0.3594 0.7500
0.8750 0.8906 0.7500
0.5000 0.5000 0.0000
0.2500 0.7500 0.5000
0.0000 0.0000 0.0000
0.7500 0.2500 0.5000
```

**Spin magnetization**: 0.000 μB per cell
**E_form (uncorrected)**: -39 meV per atom


> Look up the spin magnetization of the second one.

0.000 μB per cell